1.
Here is crystalline DyBiRhO6 at its relaxed geometry from Alexandria. Energies are from PBE-GGA.

For the electronic total energy, the calculation gives -6.5359 eV per atom. For the magnetic moment, the calculation gives 0.62 μB/f.u. As for the space group: P-31c.

abc: 5.508 5.508 9.307
angles: 90.00 90.00 120.00
Last column: magnetic moment on the atom in μB.
Fractional positions:
O (0.034, 0.668, 0.871)  0.04
O (0.367, 0.034, 0.129)  0.04
O (0.367, 0.332, 0.371)  0.04
Rh (0.333, 0.667, 0.750)  0.30
Dy (0.667, 0.333, 0.750)  0.00
Bi (0.000, 0.000, 0.500)  -0.01
O (0.633, 0.668, 0.629)  0.04
O (0.332, 0.367, 0.871)  0.04
Rh (0.667, 0.333, 0.250)  0.30
Dy (0.333, 0.667, 0.250)  0.00
O (0.966, 0.332, 0.129)  0.04
O (0.966, 0.633, 0.371)  0.04
O (0.633, 0.966, 0.871)  0.04
O (0.668, 0.034, 0.371)  0.04
O (0.332, 0.966, 0.629)  0.04
O (0.668, 0.633, 0.129)  0.04
Bi (0.000, 0.000, 0.000)  -0.01
O (0.034, 0.367, 0.629)  0.04


2.
Here is crystalline Mg2Ga2SiNi5 at its relaxed geometry from Alexandria. Energies are from PBE-GGA.

For the electronic total energy, the calculation gives -4.6704 eV per atom. For the magnetic moment, the calculation gives 0.00 μB/f.u. As for the space group: P4/mbm.

abc: 3.009 9.500 9.500
angles: 90.00 90.00 90.00
Fractional positions:
Ga (0.000, 0.635, 0.865)
Ga (0.000, 0.865, 0.365)
Si (0.000, 0.000, 0.000)
Ni (0.500, 0.000, 0.500)
Ni (0.500, 0.045, 0.813)
Ni (0.500, 0.955, 0.187)
Mg (0.000, 0.331, 0.831)
Mg (0.000, 0.831, 0.669)
Ni (0.500, 0.313, 0.545)
Mg (0.000, 0.169, 0.331)
Ni (0.500, 0.187, 0.045)
Ga (0.000, 0.365, 0.135)
Ni (0.500, 0.687, 0.455)
Ga (0.000, 0.135, 0.635)
Si (0.000, 0.500, 0.500)
Ni (0.500, 0.813, 0.955)
Ni (0.500, 0.455, 0.313)
Ni (0.500, 0.500, 0.000)
Mg (0.000, 0.669, 0.169)
Ni (0.500, 0.545, 0.687)


3.
Here is crystalline CaMoRh2 at its relaxed geometry from Alexandria. Energies are from PBE-GGA.

The formation enthalpy at 0 K is 0.01 eV/atom. For the magnetic moment, the calculation gives 0.00 μB/f.u. As for the space group: Cmmm. The calculation puts the energy above the most stable polymorph in this dataset at 155 meV per atom.

abc: 7.034 4.836 2.881
angles: 90.03 65.77 127.23
Fractional positions:
Ca (0.000, 0.500, 0.500)
Rh (0.000, 0.000, 0.000)
Mo (0.500, 0.500, 0.000)
Rh (0.500, 0.000, 0.500)


4.
Here is crystalline ZrCuW2 at its relaxed geometry from Alexandria. Energies are from PBE-GGA.

The formation enthalpy at 0 K is 0.35 eV/atom. For the magnetic moment, the calculation gives 0.00 μB/f.u. As for the space group: I4/mmm. The calculation puts the energy above the most stable polymorph in this dataset at 225 meV per atom.

abc: 5.262 5.262 5.262
angles: 136.71 136.71 62.89
Fractional positions:
Zr (0.250, 0.750, 0.500)
W (0.000, 0.000, 0.000)
W (0.500, 0.500, 0.000)
Cu (0.750, 0.250, 0.500)


5.
Here is crystalline MgV2CuRe at its relaxed geometry from Alexandria. Energies are from PBE-GGA.

The formation enthalpy at 0 K is 1.03 eV/atom. For the magnetic moment, the calculation gives 2.41 μB/f.u. As for the space group: P4/mmm.

abc: 4.579 4.843 4.579
angles: 90.00 90.00 90.00
Last column: magnetic moment on the atom in μB.
Fractional positions:
Cu (0.000, 0.500, 0.000)  -0.03
V (0.000, 0.000, 0.500)  0.85
V (0.500, 0.000, 0.000)  1.57
Re (0.000, 0.000, 0.000)  -0.32
Mg (0.500, 0.500, 0.500)  -0.01


6.
Here is crystalline TcAgW at its relaxed geometry from Alexandria. Energies are from PBE-GGA.

The formation enthalpy at 0 K is 0.48 eV/atom. For the magnetic moment, the calculation gives 0.00 μB/f.u. As for the space group: P1. The calculation puts the energy above the most stable polymorph in this dataset at 120 meV per atom.

abc: 3.254 3.258 5.166
angles: 71.81 72.05 89.91
Fractional positions:
W (0.956, 0.782, 0.603)
Ag (0.632, 0.462, 0.235)
Tc (0.311, 0.144, 0.864)